A plane-wave DFT calculation with GGA-PBE was carried out for a geometry-optimized Ca2TaCl structure.

Properties
The symmetry is Pmm2. The formation energy (no corrections) is 0.170 eV/atom. The total energy is -4.26 eV per atom. Its energy above the most stable polymorph in this dataset is 500 meV per atom.

a b c (Å): 3.240 5.325 6.443
angles (deg): 90.00 90.00 90.00
Each line ends with the local moment (μB).
Fractional positions:
Ca1 0.000 0.000 0.937  0.07
Ca2 0.500 0.500 0.347  0.06
Cl1 0.000 0.000 0.368  0.02
Ta1 0.500 0.500 0.848  1.15



A plane-wave DFT calculation with GGA-PBE was carried out for a geometry-optimized SnGe2Pb2 structure.

Properties
The symmetry is I4/mmm. The total energy is -3.84 eV per atom. The formation energy is 0.2878 eV per atom. Its energy above the most stable polymorph in this dataset is 130 meV per atom.

a b c (Å): 4.642 4.642 7.377
angles (deg): 71.66 71.66 90.00
Fractional positions:
Pb1 0.750 0.250 0.500
Pb2 0.250 0.750 0.500
Ge1 0.405 0.405 0.190
Ge2 0.595 0.595 0.810
Sn1 0.000 0.000 0.000



A plane-wave DFT calculation with GGA-PBE was carried out for a geometry-optimized PmPaRh4 structure.

Properties
The symmetry is Pmma. The total energy is -7.88 eV per atom. The formation energy is -0.6081 eV per atom. Its energy above the most stable polymorph in this dataset is 39 meV per atom.

a b c (Å): 4.029 7.241 7.930
angles (deg): 90.00 90.00 90.00
Fractional positions:
Pm1 0.000 0.681 0.750
Pm2 0.000 0.319 0.250
Pa1 0.000 0.237 0.750
Pa2 0.000 0.763 0.250
Rh1 0.000 0.000 0.500
Rh2 0.000 0.000 0.000
Rh3 0.500 0.966 0.750
Rh4 0.500 0.034 0.250
Rh5 0.500 0.687 0.036
Rh6 0.500 0.313 0.964
Rh7 0.500 0.687 0.464
Rh8 0.500 0.313 0.536



A plane-wave DFT calculation with GGA-PBE was carried out for a geometry-optimized Rb2Ca3DyF12 structure.

Properties
The symmetry is R-3m. The formation energy (no corrections) is -3.424 eV/atom. The total energy is -5.37 eV per atom.

a b c (Å): 8.337 8.337 8.337
angles (deg): 58.14 58.14 58.14
Each line ends with the local moment (μB).
Fractional positions:
Rb1 0.597 0.597 0.597  0.00
Rb2 0.403 0.403 0.403  0.00
Ca1 0.500 0.000 0.000  0.00
Ca2 0.000 0.500 0.000  0.00
Ca3 0.000 0.000 0.500  0.00
Dy1 0.000 0.000 0.000  0.00
F1 0.337 0.337 0.908  0.14
F2 0.935 0.935 0.314  0.05
F3 0.314 0.935 0.935  0.05
F4 0.908 0.337 0.337  0.14
F5 0.935 0.314 0.935  0.05
F6 0.337 0.908 0.337  0.14
F7 0.663 0.663 0.092  0.14
F8 0.065 0.065 0.686  0.05
F9 0.686 0.065 0.065  0.05
F10 0.092 0.663 0.663  0.14
F11 0.065 0.686 0.065  0.05
F12 0.663 0.092 0.663  0.14